No. 1
Entry from Alexandria via LeMat-Bulk: a geometry-optimized Yb6Dy structure (PBE-GGA).

Total moment: 0.0 μB per formula unit
Formation enthalpy at 0 K: 1.168 eV per atom

Structure (CIF):
```
data_Yb6Dy
_symmetry_space_group_name_H-M 'I m -3 m'
_symmetry_Int_Tables_number 229
_symmetry_space_group_name_Hall '-I 4 2 3'
_cell_length_a 8.662
_cell_length_b 8.662
_cell_length_c 8.662
_cell_angle_alpha 90.00
_cell_angle_beta 90.00
_cell_angle_gamma 90.00
loop_
_atom_site_label
_atom_site_type_symbol
_atom_site_fract_x
_atom_site_fract_y
_atom_site_fract_z
Yb1 Yb 0.000 0.250 0.500
Dy1 Dy 0.000 0.000 0.000
```

***

No. 2
Entry from Alexandria via LeMat-Bulk: a geometry-optimized Yb3Dy structure (PBE-GGA).

Total moment: 0.3 μB per formula unit
Formation enthalpy at 0 K: -0.066 eV per atom

Structure (CIF):
```
data_Yb3Dy
_symmetry_space_group_name_H-M 'P 63/m m c'
_symmetry_Int_Tables_number 194
_symmetry_space_group_name_Hall '-P 6c 2c'
_cell_length_a 7.2461
_cell_length_b 7.2461
_cell_length_c 5.9096
_cell_angle_alpha 90.00
_cell_angle_beta 90.00
_cell_angle_gamma 120.00
loop_
_atom_site_label
_atom_site_type_symbol
_atom_site_fract_x
_atom_site_fract_y
_atom_site_fract_z
Yb1 Yb 0.1692 0.3384 0.2500
Dy1 Dy 0.3333 0.6667 0.7500
```

***

Which value of total moment does entry 1 give? 0.0 μB per formula unit